[1]
Entry from the Alexandria database: a relaxed structure of CeGa4Pt4 (PBE).

formation energy = -69.4 kJ/mol of atoms
E_tot = -5.408 eV per atom
crystal system = tetragonal
magnetization = 1.55 μB/cell
calculated density = 12.023 g cm⁻³

Lattice parameters (Å, degrees): 6.249 6.249 8.484 90.00 90.00 90.00
Fractional positions:
1 Ce 0.000 0.000 0.000
2 Ce 0.500 0.500 0.500
3 Ga 0.230 0.500 0.895
4 Ga 0.770 0.500 0.895
5 Ga 0.500 0.770 0.105
6 Ga 0.500 0.230 0.105
7 Ga 0.000 0.730 0.395
8 Ga 0.000 0.270 0.395
9 Ga 0.270 0.000 0.605
10 Ga 0.730 0.000 0.605
11 Pt 0.500 0.778 0.803
12 Pt 0.500 0.222 0.803
13 Pt 0.778 0.500 0.197
14 Pt 0.222 0.500 0.197
15 Pt 0.278 0.000 0.303
16 Pt 0.722 0.000 0.303
17 Pt 0.000 0.278 0.697
18 Pt 0.000 0.722 0.697

=====

[2]
Entry from the Alexandria database: a relaxed structure of Hf2AlPd (PBE).

formation energy = -49.6 kJ/mol of atoms
E_tot = -7.724 eV per atom
crystal system = tetragonal
magnetization = 0.00 μB/cell
calculated density = 10.924 g cm⁻³

Lattice parameters (Å, degrees): 4.317 4.317 7.999 90.00 90.00 90.00
Fractional positions:
1 Hf 0.000 0.000 0.500
2 Hf 0.500 0.500 0.500
3 Hf 0.000 0.500 0.781
4 Hf 0.500 0.000 0.219
5 Al 0.000 0.500 0.223
6 Al 0.500 0.000 0.777
7 Pd 0.000 0.000 0.000
8 Pd 0.500 0.500 0.000

=====

[3]
Entry from the Alexandria database: a relaxed structure of Nd4GaSi (PBE).

E_tot = -4.799 eV per atom
relative energy among the computed polymorphs = 0.157 eV/atom
crystal system = orthorhombic
magnetization = 0.00 μB/cell
calculated density = 6.098 g cm⁻³
ΔE_f (raw) = -0.212 eV per atom

Lattice parameters (Å, degrees): 5.575 6.271 10.875 90.00 104.85 90.00
Fractional positions:
1 Nd 0.887 0.322 0.774
2 Nd 0.113 0.822 0.226
3 Nd 0.438 0.822 0.876
4 Nd 0.562 0.322 0.124
5 Nd 0.710 0.570 0.419
6 Nd 0.290 0.070 0.581
7 Nd 0.709 0.075 0.419
8 Nd 0.291 0.575 0.581
9 Ga 0.577 0.822 0.155
10 Ga 0.423 0.322 0.845
11 Si 0.841 0.822 0.683
12 Si 0.159 0.322 0.317